1.
{
  "formula": "BeNi2PdN",
  "functional": "PBE-GGA",
  "state": "optimized geometry",
  "cell": [[3.8727, 0.0000, 0.0000], [0.0000, 3.8727, 0.0000], [0.0000, 0.0000, 3.4147]],
  "species": ["N", "Ni", "Ni", "Be", "Pd"],
  "fractional_positions": [[0.0000, 0.0000, 0.0000], [0.0000, 0.5000, 0.0000], [0.5000, 0.0000, 0.0000], [0.0000, 0.0000, 0.5000], [0.5000, 0.5000, 0.5000]],
  "total_magnetization_mub_per_fu": 0.00,
  "rho_g_cm3": 8.003,
  "energy_ry_per_atom": -0.43556
}

=====

2.
{
  "formula": "PmBeNiN",
  "functional": "PBE-GGA",
  "state": "optimized geometry",
  "cell": [[-0.6522, -3.0202, -1.8969], [3.3996, 0.0565, -1.2589], [2.3936, -4.4510, 6.2638]],
  "species": ["Be", "Be", "Ni", "Ni", "N", "N", "Pm", "Pm"],
  "fractional_positions": [[0.5000, 0.0000, 0.6573], [0.0000, 0.5000, 0.3427], [0.5000, 0.5000, 0.5000], [0.0000, 0.0000, 0.5000], [0.5000, 0.0000, 0.8590], [0.0000, 0.5000, 0.1410], [0.5000, 0.0000, 0.1603], [0.0000, 0.5000, 0.8397]],
  "total_magnetization_mub_per_fu": 0.00,
  "rho_g_cm3": 7.117,
  "energy_ry_per_atom": -0.48050
}

=====

3.
{
  "formula": "PuBeNiN",
  "functional": "PBE-GGA",
  "state": "optimized geometry",
  "cell": [[-1.8315, -2.9544, -0.6661], [1.2744, -0.0456, -3.3016], [6.1822, -4.3842, 2.4468]],
  "species": ["Ni", "Ni", "Be", "Be", "Pu", "Pu", "N", "N"],
  "fractional_positions": [[0.0000, 0.0000, 0.5000], [0.5000, 0.5000, 0.5000], [0.0000, 0.5000, 0.3367], [0.5000, 0.0000, 0.6633], [0.0000, 0.5000, 0.8404], [0.5000, 0.0000, 0.1596], [0.0000, 0.5000, 0.1305], [0.5000, 0.0000, 0.8695]],
  "total_magnetization_mub_per_fu": 5.02,
  "rho_g_cm3": 10.843,
  "energy_ry_per_atom": -0.64732
}

=====

4.
{
  "formula": "BeNi2RhN",
  "functional": "PBE-GGA",
  "state": "optimized geometry",
  "cell": [[-1.5493, -2.6138, 3.1814], [2.1881, -1.8755, -0.4753], [2.4683, 2.1312, 2.9529]],
  "species": ["Be", "N", "Rh", "Ni", "Ni"],
  "fractional_positions": [[0.0000, 0.0000, 0.0000], [0.0000, 0.5000, 0.0000], [0.5000, 0.5000, 0.5000], [0.0000, 0.0000, 0.5000], [0.5000, 0.0000, 0.0000]],
  "total_magnetization_mub_per_fu": 2.43,
  "rho_g_cm3": 7.147,
  "energy_ry_per_atom": -0.40855
}

=====

5.
{
  "formula": "BeNiSN2",
  "functional": "PBE-GGA",
  "state": "optimized geometry",
  "cell": [[-1.9860, 2.5159, -1.1283], [-1.3967, 0.2810, 3.0850], [5.2190, 4.9762, 1.9096]],
  "species": ["Ni", "N", "N", "Be", "S"],
  "fractional_positions": [[0.0000, 0.0000, 0.0000], [0.0000, 0.5000, 0.0000], [0.5000, 0.0000, 0.0000], [0.5000, 0.5000, 0.5000], [0.0000, 0.0000, 0.5000]],
  "total_magnetization_mub_per_fu": 0.00,
  "rho_g_cm3": 2.463,
  "energy_ry_per_atom": -0.36179
}

=====

6.
{
  "formula": "BeNiS2N",
  "functional": "PBE-GGA",
  "state": "optimized geometry",
  "cell": [[-0.0952, 3.3136, -3.2775], [-4.6553, 0.0900, 0.2262], [0.1615, 2.3617, 2.3831]],
  "species": ["N", "S", "S", "Ni", "Be"],
  "fractional_positions": [[0.0000, 0.0000, 0.5000], [0.5000, 0.0000, 0.0000], [0.0000, 0.5000, 0.0000], [0.0000, 0.0000, 0.0000], [0.5000, 0.5000, 0.5000]],
  "total_magnetization_mub_per_fu": 0.29,
  "rho_g_cm3": 3.318,
  "energy_ry_per_atom": -0.32083
}

=====

7.
{
  "formula": "BeNiSN2",
  "functional": "PBE-GGA",
  "state": "optimized geometry",
  "cell": [[-1.6921, -1.9571, -1.8524], [2.6516, -1.5989, -0.7330], [-1.0460, -4.2133, 5.4069]],
  "species": ["N", "N", "S", "Ni", "Be"],
  "fractional_positions": [[0.0000, 0.5000, 0.0000], [0.5000, 0.0000, 0.0000], [0.0000, 0.0000, 0.5000], [0.5000, 0.5000, 0.5000], [0.0000, 0.0000, 0.0000]],
  "total_magnetization_mub_per_fu": 0.37,
  "rho_g_cm3": 3.022,
  "energy_ry_per_atom": -0.37091
}

=====

8.
{
  "formula": "BeNiS2N",
  "functional": "PBE-GGA",
  "state": "optimized geometry",
  "cell": [[-1.9143, 3.4351, -2.3075], [0.3038, -2.4189, -3.8529], [-2.7345, -1.1737, 0.5213]],
  "species": ["S", "S", "Be", "Ni", "N"],
  "fractional_positions": [[0.0000, 0.5000, 0.0000], [0.5000, 0.0000, 0.0000], [0.0000, 0.0000, 0.0000], [0.5000, 0.5000, 0.5000], [0.0000, 0.0000, 0.5000]],
  "total_magnetization_mub_per_fu": 0.00,
  "rho_g_cm3": 3.856,
  "energy_ry_per_atom": -0.33103
}

=====

What did the first record say?
{
  "formula": "BeNi2PdN",
  "functional": "PBE-GGA",
  "state": "optimized geometry",
  "cell": [[3.8727, 0.0000, 0.0000], [0.0000, 3.8727, 0.0000], [0.0000, 0.0000, 3.4147]],
  "species": ["N", "Ni", "Ni", "Be", "Pd"],
  "fractional_positions": [[0.0000, 0.0000, 0.0000], [0.0000, 0.5000, 0.0000], [0.5000, 0.0000, 0.0000], [0.0000, 0.0000, 0.5000], [0.5000, 0.5000, 0.5000]],
  "total_magnetization_mub_per_fu": 0.00,
  "rho_g_cm3": 8.003,
  "energy_ry_per_atom": -0.43556
}

=====

Repeat the seventh record exactly.
{
  "formula": "BeNiSN2",
  "functional": "PBE-GGA",
  "state": "optimized geometry",
  "cell": [[-1.6921, -1.9571, -1.8524], [2.6516, -1.5989, -0.7330], [-1.0460, -4.2133, 5.4069]],
  "species": ["N", "N", "S", "Ni", "Be"],
  "fractional_positions": [[0.0000, 0.5000, 0.0000], [0.5000, 0.0000, 0.0000], [0.0000, 0.0000, 0.5000], [0.5000, 0.5000, 0.5000], [0.0000, 0.0000, 0.0000]],
  "total_magnetization_mub_per_fu": 0.37,
  "rho_g_cm3": 3.022,
  "energy_ry_per_atom": -0.37091
}